Computed, not measured: a geometry-optimized DyHoAlGe structure at the GGA-PBE level of DFT.

Structure (extended XYZ):
```
4
Lattice="4.011 0.000 0.000 0.000 2.177 5.428 0.000 -2.177 5.428" Properties=species:S:1:pos:R:3 pbc="T T T"
Dy 0.000 0.000 0.000
Ho 2.005 0.000 3.059
Al 0.000 0.000 7.772
Ge 2.005 0.000 6.104
```

The space group is Amm2.

Computed, not measured: a geometry-optimized DyAlGeIr2 structure at the GGA-PBE level of DFT.

Structure (extended XYZ):
```
10
Lattice="2.125 -6.521 0.000 2.125 6.521 0.000 0.000 0.000 6.962" Properties=species:S:1:pos:R:3 pbc="T T T"
Dy 2.125 4.989 5.221
Dy 2.125 -4.989 1.740
Al 2.125 3.957 1.740
Al 2.125 -3.957 5.221
Ge 2.125 0.000 0.000
Ge 2.125 0.000 3.481
Ir 2.125 2.328 3.767
Ir 2.125 2.328 6.676
Ir 2.125 -2.328 0.286
Ir 2.125 -2.328 3.195
```

The space group is Cmcm.

Computed, not measured: a geometry-optimized Dy2AlGe3Ir4 structure at the GGA-PBE level of DFT.

Structure (extended XYZ):
```
10
Lattice="4.167 0.000 0.000 0.000 4.167 0.000 0.000 0.000 10.385" Properties=species:S:1:pos:R:3 pbc="T T T"
Dy 0.000 2.084 2.570
Dy 2.084 0.000 7.815
Al 0.000 0.000 5.193
Ge 0.000 2.084 9.014
Ge 2.084 0.000 1.371
Ge 2.084 2.084 5.193
Ir 0.000 0.000 0.000
Ir 0.000 2.084 6.590
Ir 2.084 0.000 3.795
Ir 2.084 2.084 0.000
```

The space group is P-4m2.

Computed, not measured: a geometry-optimized Li2DyAlGe2 structure at the GGA-PBE level of DFT.

Structure (extended XYZ):
```
12
Lattice="4.161 0.000 0.000 0.000 7.947 0.000 0.000 0.000 7.076" Properties=species:S:1:pos:R:3 pbc="T T T"
Li 0.000 0.613 0.000
Li 0.000 7.334 3.538
Li 2.080 1.355 2.305
Li 2.080 6.592 5.843
Dy 2.080 3.427 6.727
Dy 2.080 4.520 3.189
Al 0.000 2.434 4.340
Al 0.000 5.513 0.802
Ge 0.000 2.950 1.698
Ge 0.000 4.997 5.236
Ge 2.080 1.124 4.973
Ge 2.080 6.824 1.435
```

The space group is Pmc2_1.

Computed, not measured: a geometry-optimized DyAlNi4Ge2 structure at the GGA-PBE level of DFT.

Structure (extended XYZ):
```
8
Lattice="2.023 1.168 8.184 -2.023 1.168 8.184 0.000 -2.336 8.184" Properties=species:S:1:pos:R:3 pbc="T T T"
Dy 0.000 0.000 0.000
Al 0.000 0.000 12.276
Ni 0.000 0.000 3.322
Ni 0.000 0.000 9.960
Ni 0.000 0.000 14.593
Ni 0.000 0.000 21.230
Ge 0.000 0.000 6.057
Ge 0.000 0.000 18.495
```

The space group is R-3m.

Computed, not measured: a geometry-optimized Dy2Al2Ni5Ge structure at the GGA-PBE level of DFT.

Structure (extended XYZ):
```
20
Lattice="10.100 0.000 0.000 0.000 10.100 0.000 0.000 0.000 2.990" Properties=species:S:1:pos:R:3 pbc="T T T"
Dy 1.746 3.304 0.000
Dy 3.304 8.355 0.000
Dy 6.796 1.746 0.000
Dy 8.355 6.796 0.000
Al 1.301 6.351 0.000
Al 3.749 1.301 0.000
Al 6.351 8.799 0.000
Al 8.799 3.749 0.000
Ni 0.000 5.050 1.495
Ni 0.542 8.193 1.495
Ni 1.908 0.542 1.495
Ni 3.142 5.592 1.495
Ni 4.508 3.142 1.495
Ni 5.050 0.000 1.495
Ni 5.592 6.958 1.495
Ni 6.958 4.508 1.495
Ni 8.193 9.558 1.495
Ni 9.558 1.908 1.495
Ge 0.000 0.000 0.000
Ge 5.050 5.050 0.000
```

The space group is P4/mbm.

Computed, not measured: a geometry-optimized DyAlNi5Ge2 structure at the GGA-PBE level of DFT.

Structure (extended XYZ):
```
9
Lattice="4.264 0.000 0.000 0.000 4.264 0.000 0.000 0.000 7.440" Properties=species:S:1:pos:R:3 pbc="T T T"
Dy 0.000 0.000 0.000
Al 0.000 0.000 3.720
Ni 0.000 2.132 1.720
Ni 0.000 2.132 5.720
Ni 2.132 0.000 1.720
Ni 2.132 0.000 5.720
Ni 2.132 2.132 0.000
Ge 2.132 2.132 2.525
Ge 2.132 2.132 4.915
```

The space group is P4/mmm.

Computed, not measured: a geometry-optimized Dy2AlNi3Ge4 structure at the GGA-PBE level of DFT.

Structure (extended XYZ):
```
10
Lattice="4.027 0.000 0.000 0.000 4.027 0.000 0.000 0.000 10.280" Properties=species:S:1:pos:R:3 pbc="T T T"
Dy 0.000 2.013 2.466
Dy 2.013 0.000 7.814
Al 0.000 0.000 5.140
Ni 0.000 2.013 8.989
Ni 2.013 0.000 1.291
Ni 2.013 2.013 5.140
Ge 0.000 0.000 0.000
Ge 0.000 2.013 6.665
Ge 2.013 0.000 3.615
Ge 2.013 2.013 0.000
```

The space group is P-4m2.

Computed, not measured: a geometry-optimized DyAl2GePd4 structure at the GGA-PBE level of DFT.

Structure (extended XYZ):
```
8
Lattice="2.175 1.256 8.377 -2.175 1.256 8.377 0.000 -2.511 8.377" Properties=species:S:1:pos:R:3 pbc="T T T"
Dy 0.000 0.000 0.000
Al 0.000 0.000 6.182
Al 0.000 0.000 18.949
Ge 0.000 0.000 12.566
Pd 0.000 0.000 3.320
Pd 0.000 0.000 10.049
Pd 0.000 0.000 15.083
Pd 0.000 0.000 21.812
```

The space group is R-3m.

Computed, not measured: a geometry-optimized DyAlGe2Pd4 structure at the GGA-PBE level of DFT.

Structure (extended XYZ):
```
8
Lattice="2.177 1.257 8.328 -2.177 1.257 8.328 0.000 -2.514 8.328" Properties=species:S:1:pos:R:3 pbc="T T T"
Dy 0.000 0.000 0.000
Al 0.000 0.000 12.492
Ge 0.000 0.000 6.331
Ge 0.000 0.000 18.653
Pd 0.000 0.000 3.407
Pd 0.000 0.000 10.029
Pd 0.000 0.000 14.954
Pd 0.000 0.000 21.576
```

The space group is R-3m.

Computed, not measured: a geometry-optimized Dy2AlGe3Pd4 structure at the GGA-PBE level of DFT.

Structure (extended XYZ):
```
10
Lattice="4.216 0.000 0.000 0.000 4.216 0.000 0.000 0.000 10.421" Properties=species:S:1:pos:R:3 pbc="T T T"
Dy 0.000 2.108 2.581
Dy 2.108 0.000 7.840
Al 0.000 0.000 5.210
Ge 0.000 2.108 9.029
Ge 2.108 0.000 1.392
Ge 2.108 2.108 5.210
Pd 0.000 0.000 0.000
Pd 0.000 2.108 6.597
Pd 2.108 0.000 3.824
Pd 2.108 2.108 0.000
```

The space group is P-4m2.

Computed, not measured: a geometry-optimized Dy2Al4GePd3 structure at the GGA-PBE level of DFT.

Structure (extended XYZ):
```
10
Lattice="4.176 0.000 0.000 0.000 4.176 0.000 0.000 0.000 10.748" Properties=species:S:1:pos:R:3 pbc="T T T"
Dy 0.000 2.088 2.654
Dy 2.088 0.000 8.094
Al 0.000 0.000 0.000
Al 0.000 2.088 6.872
Al 2.088 0.000 3.876
Al 2.088 2.088 0.000
Ge 0.000 0.000 5.374
Pd 0.000 2.088 9.308
Pd 2.088 0.000 1.440
Pd 2.088 2.088 5.374
```

The space group is P-4m2.

The calculation returns the following ΔH_f (0 K) values, one per record and in order: -0.692 -0.624 -0.811 -0.523 -0.500 -0.373 -0.154 -0.665 -0.714 -0.700 -0.822 -0.761 eV/atom.